1.
{"formula": "AlHg2BiB", "functional": "PBE-GGA", "state": "relaxed", "final_energy_ev_per_cell": -7.197, "formation_energy_ev_per_atom": 1.54, "magmom_total_mub_per_cell": 0.77, "space_group": "P4/mmm (123)", "lattice_angstrom": [[5.859, 0.000, 0.000], [0.000, 5.715, 0.000], [0.000, 0.000, 5.859]], "species": ["Al", "Bi", "Hg", "Hg", "B"], "frac_coords": [[0.000, 0.500, 0.000], [0.000, 0.000, 0.000], [0.000, 0.000, 0.500], [0.500, 0.000, 0.000], [0.500, 0.500, 0.500]]}

***

2.
{"formula": "YBe2Os", "functional": "PBE-GGA", "state": "relaxed", "final_energy_ev_per_cell": -24.170, "formation_energy_ev_per_atom": 0.24, "e_above_lowest_polymorph_mev_per_atom": 462.2, "magmom_total_mub_per_cell": 0.00, "space_group": "Imm2 (44)", "lattice_angstrom": [[4.925, 0.000, 0.000], [1.726, 4.612, 0.000], [-2.770, -3.107, 2.632]], "species": ["Be", "Y", "Be", "Os"], "frac_coords": [[0.758, 0.258, 0.500], [0.247, 0.747, 0.500], [0.955, 0.955, 0.000], [0.540, 0.540, 0.000]]}

***

3.
{"formula": "BeAg2SbN", "functional": "PBE-GGA", "state": "relaxed", "final_energy_ev_per_cell": -20.591, "magmom_total_mub_per_cell": 0.00, "e_form_raw_ev_per_atom": 0.257, "space_group": "P4/mmm (123)", "lattice_angstrom": [[-1.359, 4.610, -2.389], [-4.178, -2.437, -2.327], [-1.723, 0.710, 2.350]], "species": ["N", "Sb", "Ag", "Ag", "Be"], "frac_coords": [[0.000, 0.000, 0.500], [0.500, 0.500, 0.500], [0.500, 0.000, 0.000], [0.000, 0.500, 0.000], [0.000, 0.000, 0.000]]}

***

4.
{"formula": "RbBeAl2", "functional": "PBE-GGA", "state": "relaxed", "final_energy_ev_per_cell": -20.186, "formation_energy_ev_per_atom": 0.52, "magmom_total_mub_per_cell": 0.00, "space_group": "I4_1/amd (141)", "lattice_angstrom": [[5.790, 0.000, 0.000], [0.000, 5.790, 0.000], [2.895, 2.895, 7.088]], "species": ["Be", "Al", "Rb", "Al", "Rb", "Al", "Be", "Al"], "frac_coords": [[0.500, 0.500, 0.000], [0.375, 0.625, 0.250], [0.750, 0.250, 0.500], [0.875, 0.625, 0.750], [0.000, 0.000, 0.000], [0.375, 0.125, 0.250], [0.250, 0.750, 0.500], [0.375, 0.625, 0.750]]}

***

5.
{"formula": "Dy4SiBi2", "functional": "PBE-GGA", "state": "relaxed", "final_energy_ev_per_cell": -70.460, "magmom_total_mub_per_cell": 0.00, "e_form_raw_ev_per_atom": -0.520, "space_group": "P2_1/m (11)", "lattice_angstrom": [[6.691, 0.000, -0.288], [0.000, 6.566, 0.000], [-2.764, 0.000, 9.351]], "species": ["Dy", "Dy", "Bi", "Dy", "Si", "Dy", "Bi", "Dy", "Dy", "Dy", "Bi", "Si", "Dy", "Bi"], "frac_coords": [[0.514, 0.502, 0.757], [0.114, 0.750, 0.441], [0.299, 0.250, 0.461], [0.058, 0.750, 0.858], [0.863, 0.250, 0.839], [0.486, 0.002, 0.243], [0.700, 0.750, 0.052], [0.486, 0.498, 0.243], [0.942, 0.250, 0.142], [0.514, 0.998, 0.757], [0.300, 0.250, 0.948], [0.137, 0.750, 0.161], [0.886, 0.250, 0.559], [0.701, 0.750, 0.539]]}

***

6.
{"formula": "Y3HoPb2", "functional": "PBE-GGA", "state": "relaxed", "final_energy_ev_per_cell": -34.110, "formation_energy_ev_per_atom": -0.45, "e_above_lowest_polymorph_mev_per_atom": 0.0, "magmom_total_mub_per_cell": 0.00, "space_group": "P-4m2 (115)", "lattice_angstrom": [[-0.870, 2.592, 3.663], [-4.047, -2.065, 0.500], [3.626, -5.891, 5.029]], "species": ["Y", "Y", "Pb", "Ho", "Y", "Pb"], "frac_coords": [[0.000, 0.500, 0.657], [0.500, 0.000, 0.343], [0.000, 0.500, 0.283], [0.500, 0.500, 0.000], [0.000, 0.000, 0.000], [0.500, 0.000, 0.717]]}

***

7.
{"formula": "K2SO3", "functional": "PBE-GGA", "state": "relaxed", "final_energy_ev_per_cell": -55.479, "magmom_total_mub_per_cell": 3.56, "e_form_raw_ev_per_atom": -1.090, "space_group": "Cc (9)", "lattice_angstrom": [[5.846, 3.966, 0.022], [-5.846, 3.966, 0.022], [0.000, 0.048, 6.521]], "species": ["O", "O", "O", "O", "O", "K", "S", "K", "K", "K", "O", "S"], "frac_coords": [[0.637, 0.795, 0.360], [0.694, 0.043, 0.651], [0.249, 0.240, 0.277], [0.043, 0.694, 0.151], [0.795, 0.637, 0.860], [0.065, 0.936, 0.526], [0.540, 0.869, 0.535], [0.559, 0.372, 0.535], [0.372, 0.559, 0.035], [0.936, 0.065, 0.026], [0.240, 0.249, 0.777], [0.869, 0.540, 0.035]]}

***

8.
{"formula": "Nb5Tc6Sn", "functional": "PBE-GGA", "state": "relaxed", "final_energy_ev_per_cell": -120.065, "formation_energy_ev_per_atom": -0.29, "magmom_total_mub_per_cell": 0.00, "space_group": "Cmmm (65)", "lattice_angstrom": [[4.433, 0.002, -0.926], [-0.003, 6.413, -0.001], [-0.830, 0.000, 7.102]], "species": ["Tc", "Nb", "Tc", "Tc", "Nb", "Tc", "Nb", "Nb", "Tc", "Nb", "Tc", "Sn"], "frac_coords": [[0.500, 0.258, 0.000], [0.334, 0.500, 0.667], [0.830, 0.747, 0.660], [0.830, 0.253, 0.660], [0.666, 0.500, 0.333], [0.500, 0.742, 0.000], [0.665, 0.000, 0.329], [0.335, 0.000, 0.671], [0.170, 0.747, 0.340], [0.000, 0.500, 0.000], [0.170, 0.253, 0.340], [0.000, 0.000, 0.000]]}

***

9.
{"formula": "RbTl2F2", "functional": "PBE-GGA", "state": "relaxed", "final_energy_ev_per_cell": -33.857, "magmom_total_mub_per_cell": 0.00, "e_form_raw_ev_per_atom": -1.497, "space_group": "P4/mbm (127)", "lattice_angstrom": [[-2.079, -6.929, 1.940], [4.260, -2.813, -5.481], [4.001, -0.288, 3.257]], "species": ["Tl", "F", "Rb", "Tl", "Tl", "Rb", "Tl", "F", "F", "F"], "frac_coords": [[0.344, 0.156, 0.500], [0.310, 0.190, 0.000], [0.000, 0.000, 0.000], [0.656, 0.844, 0.500], [0.844, 0.344, 0.500], [0.500, 0.500, 0.000], [0.156, 0.656, 0.500], [0.810, 0.310, 0.000], [0.690, 0.810, 0.000], [0.190, 0.690, 0.000]]}

***

10.
{"formula": "Rb4TlCd2", "functional": "PBE-GGA", "state": "relaxed", "final_energy_ev_per_cell": -7.324, "formation_energy_ev_per_atom": 0.11, "e_above_lowest_polymorph_mev_per_atom": 131.4, "magmom_total_mub_per_cell": 0.00, "space_group": "I4/mmm (139)", "lattice_angstrom": [[-0.503, -7.108, -0.330], [7.075, -0.464, -0.785], [4.236, -4.264, 8.282]], "species": ["Rb", "Cd", "Rb", "Cd", "Tl", "Rb", "Rb"], "frac_coords": [[0.792, 0.792, 0.416], [0.416, 0.416, 0.169], [0.000, 0.500, 0.000], [0.584, 0.584, 0.831], [0.000, 0.000, 0.000], [0.500, 0.000, 0.000], [0.208, 0.208, 0.584]]}

***

11.
{"formula": "YPuPa2N6", "functional": "PBE-GGA", "state": "relaxed", "final_energy_ev_per_cell": -103.534, "magmom_total_mub_per_cell": 3.00, "e_form_raw_ev_per_atom": -1.379, "space_group": "R3 (146)", "lattice_angstrom": [[-1.853, 4.797, -3.006], [-5.820, 0.878, -0.915], [-2.839, 4.432, 2.921]], "species": ["N", "Pa", "Pu", "N", "N", "Y", "N", "N", "Pa", "N"], "frac_coords": [[0.698, 0.146, 0.757], [0.528, 0.528, 0.416], [0.309, 0.309, 0.072], [0.399, 0.698, 0.757], [0.625, 0.214, 0.240], [0.798, 0.798, 0.606], [0.146, 0.399, 0.757], [0.921, 0.625, 0.240], [0.023, 0.023, 0.930], [0.214, 0.921, 0.240]]}

***

12.
{"formula": "PdPbNF2", "functional": "PBE-GGA", "state": "relaxed", "final_energy_ev_per_cell": -20.955, "e_above_lowest_polymorph_mev_per_atom": 469.5, "magmom_total_mub_per_cell": 1.53, "e_form_raw_ev_per_atom": 0.003, "space_group": "P4/mmm (123)", "lattice_angstrom": [[-0.985, 4.171, -1.273], [-2.202, 0.651, 3.836], [3.671, 1.436, 1.864]], "species": ["F", "Pd", "N", "F", "Pb"], "frac_coords": [[0.500, 0.000, 0.000], [0.500, 0.500, 0.500], [0.000, 0.000, 0.500], [0.000, 0.500, 0.000], [0.000, 0.000, 0.000]]}